1.
Below is an optimized crystal structure of RbAlPb3, with properties calculated at the PBE level.

a b c (Å): 6.1676 6.1676 6.1676
angles (deg): 90.00 90.00 90.00
With the nearest neighbours (Å) after each atom.
Space group Pm-3m (No. 221)
Unique sites:
Rb (0.0000, 0.0000, 0.0000) (multiplicity 1)  6 Pb 3.08
Al (0.5000, 0.5000, 0.5000) (multiplicity 1)  12 Pb 4.36
Pb (0.0000, 0.0000, 0.5000) (multiplicity 3)  2 Rb 3.08

**M_tot**: 0.00 μB per formula unit
**E_form**: 1.26 eV per atom
**Energy above the most stable polymorph in this dataset**: 1098.3 meV per atom

2.
Below is an optimized crystal structure of RbAlPb2, with properties calculated at the PBE level.

a b c (Å): 6.0356 6.0356 18.8485
angles (deg): 90.00 90.00 90.00
With the nearest neighbours (Å) after each atom.
Space group I-42d (No. 122)
Unique sites:
Rb (0.0000, 0.0000, 0.0000) (multiplicity 4)  4 Pb 3.76
Al (0.0000, 0.0000, 0.5000) (multiplicity 4)  4 Pb 2.84
Pb (0.0829, 0.2500, 0.6250) (multiplicity 8)  2 Al 2.84, 2 Pb 3.18

**M_tot**: 0.00 μB per formula unit
**E_form**: 0.20 eV per atom

3.
Below is an optimized crystal structure of RbAlPb2, with properties calculated at the PBE level.

a b c (Å): 3.8778 3.8778 8.5766
angles (deg): 90.00 90.00 90.00
With the nearest neighbours (Å) after each atom.
Space group P4/mmm (No. 123)
Unique sites:
Rb (0.0000, 0.0000, 0.0000) (multiplicity 1)  8 Pb 3.87, 4 Rb 3.88, 2 Al 4.29
Al (0.0000, 0.0000, 0.5000) (multiplicity 1)  8 Pb 3.15
Pb (0.5000, 0.5000, 0.3181) (multiplicity 2)  1 Pb 3.12, 4 Al 3.15

**M_tot**: 0.00 μB per formula unit
**E_form**: 0.02 eV per atom